DFT (PBE-GGA) results for crystalline BaTiPO2 at its relaxed geometry.

a = 4.128 Å, b = 4.128 Å, c = 4.920 Å
α = 90.00°, β = 90.00°, γ = 90.00°
Space group P4/mmm (No. 123)
One atom of each set of equivalent atoms:
Ba (0.000, 0.000, 0.000) (multiplicity 1)
Ti (0.500, 0.500, 0.500) (multiplicity 1)
P (0.500, 0.500, 0.000) (multiplicity 1)
O (0.000, 0.500, 0.500) (multiplicity 2)

**Total magnetization**: 0.00 μB/f.u.
**Raw total energy**: -34.1 eV per formula unit

---

DFT (PBE-GGA) results for crystalline BaTiPO2 at its relaxed geometry.

a = 4.311 Å, b = 4.311 Å, c = 6.571 Å
α = 90.00°, β = 90.00°, γ = 90.00°
Space group P4/mmm (No. 123)
One atom of each set of equivalent atoms:
Ba (0.000, 0.000, 0.000) (multiplicity 1)
Ti (0.500, 0.500, 0.500) (multiplicity 1)
P (0.000, 0.000, 0.500) (multiplicity 1)
O (0.000, 0.500, 0.000) (multiplicity 2)

**Total magnetization**: 0.70 μB/f.u.
**Raw total energy**: -24.4 eV per formula unit